Entry 1:
# KMgH4 (PBE, relaxed)
data_KMgH4
_space_group_name_H-M_alt 'P 1'
_space_group_IT_number 1
_cell_length_a 7.653
_cell_length_b 7.653
_cell_length_c 6.222
_cell_angle_alpha 105.76
_cell_angle_beta 105.76
_cell_angle_gamma 39.73
loop_
_space_group_symop_operation_xyz
'x,y,z'
loop_
_atom_site_label
_atom_site_fract_x
_atom_site_fract_y
_atom_site_fract_z
_atom_site_occupancy
K1 0.126 0.126 0.326 1
K2 0.874 0.874 0.674 1
Mg1 0.420 0.420 0.294 1
Mg2 0.580 0.580 0.706 1
H1 0.258 0.742 0.500 1
H2 0.290 0.663 0.035 1
H3 0.311 0.311 0.388 1
H4 0.337 0.710 0.965 1
H5 0.663 0.290 0.035 1
H6 0.689 0.689 0.612 1
H7 0.710 0.337 0.965 1
H8 0.742 0.258 0.500 1
# Crystal system: monoclinic
# Raw total energy, eV for the cell shown: -32.410
# SG: C2/m, No. 12



Entry 2:
# Cr2Rh2C (PBE, relaxed)
data_Cr2Rh2C
_space_group_name_H-M_alt 'P 1'
_space_group_IT_number 1
_cell_length_a 6.159
_cell_length_b 6.159
_cell_length_c 6.159
_cell_angle_alpha 147.18
_cell_angle_beta 147.18
_cell_angle_gamma 47.09
loop_
_space_group_symop_operation_xyz
'x,y,z'
loop_
_atom_site_label
_atom_site_fract_x
_atom_site_fract_y
_atom_site_fract_z
_atom_site_occupancy
Cr1 0.086 0.086 0.000 1
Cr2 0.914 0.914 0.000 1
Rh1 0.250 0.750 0.500 1
Rh2 0.750 0.250 0.500 1
C1 0.500 0.500 0.000 1
# Crystal system: tetragonal
# ΔE_f, eV per atom: 1.354
# SG: I4/mmm, No. 139



Entry 3:
# CdTc4Rh (PBE, relaxed)
data_CdTc4Rh
_space_group_name_H-M_alt 'P 1'
_space_group_IT_number 1
_cell_length_a 5.148
_cell_length_b 5.148
_cell_length_c 5.148
_cell_angle_alpha 60.00
_cell_angle_beta 60.00
_cell_angle_gamma 60.00
loop_
_space_group_symop_operation_xyz
'x,y,z'
loop_
_atom_site_label
_atom_site_fract_x
_atom_site_fract_y
_atom_site_fract_z
_atom_site_occupancy
Cd1 0.000 0.000 0.000 1
Tc1 0.126 0.625 0.625 1
Tc2 0.625 0.126 0.625 1
Tc3 0.625 0.625 0.126 1
Tc4 0.625 0.625 0.625 1
Rh1 0.250 0.250 0.250 1
# Crystal system: cubic
# ΔE_f, eV per atom: 0.409
# SG: F-43m, No. 216



Entry 4:
# TlTcP2S (PBE, relaxed)
data_TlTcP2S
_space_group_name_H-M_alt 'P 1'
_space_group_IT_number 1
_cell_length_a 4.510
_cell_length_b 4.510
_cell_length_c 5.326
_cell_angle_alpha 90.00
_cell_angle_beta 90.00
_cell_angle_gamma 90.00
loop_
_space_group_symop_operation_xyz
'x,y,z'
loop_
_atom_site_label
_atom_site_fract_x
_atom_site_fract_y
_atom_site_fract_z
_atom_site_occupancy
Tl1 0.000 0.000 0.000 1
Tc1 0.500 0.500 0.000 1
P1 0.000 0.500 0.500 1
P2 0.500 0.000 0.500 1
S1 0.000 0.000 0.500 1
# Crystal system: tetragonal
# SG: P4/mmm, No. 123
# Formation energy from raw total energies, meV per atom: 1317



Entry 5:
# Nd8CoIr2 (PBE, relaxed)
data_Nd8CoIr2
_space_group_name_H-M_alt 'P 1'
_space_group_IT_number 1
_cell_length_a 7.595
_cell_length_b 7.595
_cell_length_c 6.445
_cell_angle_alpha 101.63
_cell_angle_beta 101.63
_cell_angle_gamma 111.21
loop_
_space_group_symop_operation_xyz
'x,y,z'
loop_
_atom_site_label
_atom_site_fract_x
_atom_site_fract_y
_atom_site_fract_z
_atom_site_occupancy
Nd1 0.000 0.000 0.000 1
Nd2 0.003 0.271 0.585 1
Nd3 0.166 0.549 0.196 1
Nd4 0.271 0.003 0.585 1
Nd5 0.435 0.701 0.834 1
Nd6 0.549 0.166 0.196 1
Nd7 0.701 0.435 0.834 1
Nd8 0.710 0.710 0.399 1
Co1 0.355 0.355 0.000 1
Ir1 0.036 0.666 0.704 1
Ir2 0.666 0.036 0.704 1
# Crystal system: monoclinic
# ΔE_f, eV per atom: -0.217
# SG: Cm, No. 8



Entry 6:
# PtWAu2 (PBE, relaxed)
data_PtWAu2
_space_group_name_H-M_alt 'P 1'
_space_group_IT_number 1
_cell_length_a 4.896
_cell_length_b 4.896
_cell_length_c 5.117
_cell_angle_alpha 97.94
_cell_angle_beta 97.94
_cell_angle_gamma 33.49
loop_
_space_group_symop_operation_xyz
'x,y,z'
loop_
_atom_site_label
_atom_site_fract_x
_atom_site_fract_y
_atom_site_fract_z
_atom_site_occupancy
Pt1 0.000 0.000 0.000 1
W1 0.259 0.259 0.799 1
Au1 0.511 0.511 0.527 1
Au2 0.755 0.755 0.285 1
# Crystal system: monoclinic
# ΔE_f, eV per atom: 0.160
# SG: Cm, No. 8



Entry 7:
# HfPt3I (PBE, relaxed)
data_HfPt3I
_space_group_name_H-M_alt 'P 1'
_space_group_IT_number 1
_cell_length_a 4.918
_cell_length_b 4.918
_cell_length_c 4.918
_cell_angle_alpha 90.00
_cell_angle_beta 90.00
_cell_angle_gamma 90.00
loop_
_space_group_symop_operation_xyz
'x,y,z'
loop_
_atom_site_label
_atom_site_fract_x
_atom_site_fract_y
_atom_site_fract_z
_atom_site_occupancy
Hf1 0.000 0.000 0.000 1
Pt1 0.000 0.500 0.500 1
Pt2 0.500 0.000 0.500 1
Pt3 0.500 0.500 0.000 1
I1 0.500 0.500 0.500 1
# Crystal system: cubic
# SG: Pm-3m, No. 221
# Formation energy from raw total energies, meV per atom: 1046



Entry 8:
# CaSc4 (PBE, relaxed)
data_CaSc4
_space_group_name_H-M_alt 'P 1'
_space_group_IT_number 1
_cell_length_a 5.953
_cell_length_b 5.953
_cell_length_c 5.953
_cell_angle_alpha 109.47
_cell_angle_beta 109.47
_cell_angle_gamma 109.47
loop_
_space_group_symop_operation_xyz
'x,y,z'
loop_
_atom_site_label
_atom_site_fract_x
_atom_site_fract_y
_atom_site_fract_z
_atom_site_occupancy
Ca1 0.000 0.000 0.000 1
Sc1 0.000 0.000 0.500 1
Sc2 0.000 0.500 0.000 1
Sc3 0.500 0.000 0.000 1
Sc4 0.500 0.500 0.500 1
# Crystal system: cubic
# ΔE_f, eV per atom: 1.108
# SG: Im-3m, No. 229



Entry 9:
# CaAc2Tc (PBE, relaxed)
data_CaAc2Tc
_space_group_name_H-M_alt 'P 1'
_space_group_IT_number 1
_cell_length_a 12.185
_cell_length_b 12.185
_cell_length_c 12.185
_cell_angle_alpha 17.40
_cell_angle_beta 17.40
_cell_angle_gamma 17.40
loop_
_space_group_symop_operation_xyz
'x,y,z'
loop_
_atom_site_label
_atom_site_fract_x
_atom_site_fract_y
_atom_site_fract_z
_atom_site_occupancy
Ca1 0.000 0.000 0.000 1
Ac1 0.427 0.427 0.427 1
Ac2 0.573 0.573 0.573 1
Tc1 0.500 0.500 0.500 1
# Crystal system: trigonal
# ΔE_f, eV per atom: 0.841
# SG: R-3m, No. 166



Entry 10:
# LiCuCl2 (PBE, relaxed)
data_LiCuCl2
_space_group_name_H-M_alt 'P 1'
_space_group_IT_number 1
_cell_length_a 7.988
_cell_length_b 7.988
_cell_length_c 7.988
_cell_angle_alpha 155.25
_cell_angle_beta 155.21
_cell_angle_gamma 35.32
loop_
_space_group_symop_operation_xyz
'x,y,z'
loop_
_atom_site_label
_atom_site_fract_x
_atom_site_fract_y
_atom_site_fract_z
_atom_site_occupancy
Li1 0.000 0.000 0.000 1
Cu1 0.746 0.246 0.500 1
Cl1 0.247 0.747 0.500 1
Cl2 0.500 0.500 0.000 1
# Crystal system: orthorhombic
# SG: Imm2, No. 44
# Formation energy from raw total energies, meV per atom: -938



Entry 11:
# Sm2ScCu4 (PBE, relaxed)
data_Sm2ScCu4
_space_group_name_H-M_alt 'P 1'
_space_group_IT_number 1
_cell_length_a 6.887
_cell_length_b 6.887
_cell_length_c 6.887
_cell_angle_alpha 137.58
_cell_angle_beta 137.58
_cell_angle_gamma 61.55
loop_
_space_group_symop_operation_xyz
'x,y,z'
loop_
_atom_site_label
_atom_site_fract_x
_atom_site_fract_y
_atom_site_fract_z
_atom_site_occupancy
Sm1 0.213 0.213 0.000 1
Sm2 0.787 0.787 0.000 1
Sc1 0.500 0.500 0.000 1
Cu1 0.105 0.605 0.500 1
Cu2 0.395 0.895 0.500 1
Cu3 0.605 0.105 0.500 1
Cu4 0.895 0.395 0.500 1
# Crystal system: tetragonal
# ΔE_f, eV per atom: -0.009
# SG: I4/mmm, No. 139



Entry 12:
# ScIn2Ir (PBE, relaxed)
data_ScIn2Ir
_space_group_name_H-M_alt 'P 1'
_space_group_IT_number 1
_cell_length_a 9.339
_cell_length_b 9.339
_cell_length_c 9.339
_cell_angle_alpha 19.93
_cell_angle_beta 19.93
_cell_angle_gamma 19.93
loop_
_space_group_symop_operation_xyz
'x,y,z'
loop_
_atom_site_label
_atom_site_fract_x
_atom_site_fract_y
_atom_site_fract_z
_atom_site_occupancy
Sc1 0.000 0.000 0.000 1
In1 0.242 0.242 0.242 1
In2 0.758 0.758 0.758 1
Ir1 0.500 0.500 0.500 1
# Crystal system: trigonal
# ΔE_f, eV per atom: -0.035
# SG: R-3m, No. 166



no.,calculated volume (Å³ per cell)
1,223
2,68
3,96
4,108
5,324
6,67
7,119
8,162
9,141
10,89
11,147
12,83